A crystal of CuAsOs2 relaxed with PBEsol. Source: Alexandria via LeMat-Bulk, functional SCAN.

The structure in CIF format:
```
data_CuAsOs2
_space_group_name_H-M_alt 'C 1 2/m 1'
_space_group_IT_number 12
_space_group_name_Hall '-C 2y'
_cell_length_a 8.1017
_cell_length_b 2.8271
_cell_length_c 4.8560
_cell_angle_alpha 90.00
_cell_angle_beta 99.99
_cell_angle_gamma 90.00
loop_
_atom_site_label
_atom_site_type_symbol
_atom_site_fract_x
_atom_site_fract_y
_atom_site_fract_z
Cu1 Cu 0.0000 0.0000 0.0000
As1 As 0.0000 0.5000 0.5000
Os1 Os 0.2484 0.5000 0.2488
```

Properties
- energy relative to the elements (eV per atom) = 0.409

A crystal of Cu2AsOs relaxed with PBEsol. Source: Alexandria via LeMat-Bulk, functional SCAN.

The structure in CIF format:
```
data_Cu2AsOs
_space_group_name_H-M_alt 'I 4/m m m'
_space_group_IT_number 139
_space_group_name_Hall '-I 4 2'
_cell_length_a 3.5659
_cell_length_b 3.5659
_cell_length_c 8.2755
_cell_angle_alpha 90.00
_cell_angle_beta 90.00
_cell_angle_gamma 90.00
loop_
_atom_site_label
_atom_site_type_symbol
_atom_site_fract_x
_atom_site_fract_y
_atom_site_fract_z
Cu1 Cu 0.0000 0.5000 0.2500
As1 As 0.0000 0.0000 0.0000
Os1 Os 0.0000 0.0000 0.5000
```

Properties
- energy relative to the elements (eV per atom) = 0.413

Number 1: total magnetic moment 0.00 μB per formula unit. Number 2: total magnetic moment 0.00 μB per formula unit.